A geometry-optimized Mn2Co2Tc structure, computed with PBE-GGA.

Unit cell a=6.764 b=6.764 c=2.521 alpha=90.00 beta=90.00 gamma=90.00
Last column: magnetic moment on the atom in μB.
Element x y z (fractional)
Co 0.824 0.324 0.500  0.15
Co 0.676 0.824 0.500  0.16
Co 0.324 0.176 0.500  0.16
Co 0.176 0.676 0.500  0.15
Tc 0.500 0.500 0.000  -0.04
Tc 0.000 0.000 0.000  -0.04
Mn 0.118 0.382 0.000  0.55
Mn 0.618 0.118 0.000  0.58
Mn 0.882 0.618 0.000  0.55
Mn 0.382 0.882 0.000  0.58

Computed properties:
The energy relative to the lowest polymorph listed for this composition comes out at 0.0277 eV per atom. The final energy comes out at -84.05 eV for the cell shown. As for the space group: P4/mbm, No. 127. The energy relative to the elements comes out at 0.178 eV per atom.